[1]
Entry from Alexandria: a relaxed InRh2Pb crystal (PBE).

Summary:
uncorrected energy = -5.419 eV per atom
mass density = 12.10 g cm⁻³
calculated volume = 72 Å³/f.u.
formation energy from the elements = -0.132 eV/atom

The structure in POSCAR format:
```
InRh2Pb
1.0
3.1763 -3.5584 0.0000
3.1763 3.5584 0.0000
0.0000 0.0000 3.2035
In Rh Pb
1 2 1
direct
0.0000 0.0000 0.5000 In
0.5000 0.0000 0.0000 Rh
0.0000 0.5000 0.0000 Rh
0.5000 0.5000 0.5000 Pb
```

***

[2]
Entry from Alexandria: a relaxed LaZr3W crystal (PBE).

Summary:
uncorrected energy = -6.798 eV per atom
mass density = 7.80 g cm⁻³
calculated volume = 127 Å³/f.u.
formation energy from the elements = 1.907 eV/atom

The structure in POSCAR format:
```
LaZr3W
1.0
5.0268 0.0000 0.0000
0.0000 5.0268 0.0000
0.0000 0.0000 5.0268
Zr W La
3 1 1
direct
0.0000 0.5000 0.0000 Zr
0.0000 0.0000 0.5000 Zr
0.5000 0.0000 0.0000 Zr
0.5000 0.5000 0.5000 W
0.0000 0.0000 0.0000 La
```

***

[3]
Entry from Alexandria: a relaxed RbPtCl crystal (PBE).

Summary:
uncorrected energy = -3.714 eV per atom
mass density = 6.70 g cm⁻³
energy relative to the elements, uncorrected = -0.76 eV per atom
calculated volume = 78 Å³/f.u.

The structure in POSCAR format:
```
RbPtCl
1.0
-0.6272 -3.2659 -1.5088
0.7524 -1.5748 3.2081
-10.8082 1.4020 4.8200
Rb Pt Cl
2 2 2
direct
0.3842 0.3226 0.6799 Rb
0.5170 0.1880 0.0318 Rb
0.3413 0.3753 0.3874 Pt
0.8450 0.8710 0.4436 Pt
0.0774 0.6272 0.1938 Cl
0.9474 0.7585 0.8491 Cl
```

***

[4]
Entry from Alexandria: a relaxed Hf4CuNi crystal (PBE).

Summary:
uncorrected energy = -8.355 eV per atom
mass density = 12.36 g cm⁻³
calculated volume = 112 Å³/f.u.
formation energy from the elements = -0.073 eV/atom

The structure in POSCAR format:
```
Hf4CuNi
1.0
-4.2022 -5.6969 0.0095
4.6090 -3.3975 1.3771
-5.6154 4.1486 3.8643
Hf Cu Ni
8 2 2
direct
0.2500 0.9876 0.2376 Hf
0.2500 0.4876 0.2376 Hf
0.8608 0.7481 0.2482 Hf
0.3608 0.7519 0.7518 Hf
0.6392 0.2481 0.2482 Hf
0.1392 0.2519 0.7518 Hf
0.7500 0.5124 0.7624 Hf
0.7500 0.0124 0.7624 Hf
0.0000 0.5000 0.5000 Cu
0.5000 0.0000 0.5000 Cu
0.5000 0.5000 0.0000 Ni
0.0000 0.0000 0.0000 Ni
```

***

[5]
Entry from Alexandria: a relaxed La5Nd2Hg crystal (PBE).

Summary:
uncorrected energy = -4.396 eV per atom
mass density = 7.11 g cm⁻³
calculated volume = 276 Å³/f.u.
formation energy from the elements = -0.087 eV/atom

The structure in POSCAR format:
```
La5Nd2Hg
1.0
5.6954 0.0000 0.0000
0.0000 7.0664 0.0000
0.0000 0.0000 13.7334
La Nd Hg
10 4 2
direct
0.5000 0.3423 0.1019 La
0.5000 0.6577 0.8981 La
0.5000 0.8423 0.3981 La
0.5000 0.1577 0.6019 La
0.0000 0.8845 0.7346 La
0.0000 0.1155 0.2654 La
0.0000 0.3845 0.7654 La
0.0000 0.6155 0.2346 La
0.0000 0.5000 0.5000 La
0.0000 0.0000 0.0000 La
0.5000 0.3760 0.3528 Nd
0.5000 0.6240 0.6472 Nd
0.5000 0.1240 0.8528 Nd
0.5000 0.8760 0.1472 Nd
0.0000 0.0000 0.5000 Hg
0.0000 0.5000 0.0000 Hg
```

***

[6]
Entry from Alexandria: a relaxed Ho2ZrPaCo2 crystal (PBE).

Summary:
uncorrected energy = -7.123 eV per atom
mass density = 9.46 g cm⁻³
calculated volume = 135 Å³/f.u.
formation energy from the elements = -0.221 eV/atom

The structure in POSCAR format:
```
Ho2ZrPaCo2
1.0
6.6786 0.0000 0.0000
0.0000 6.5708 0.0000
-3.3393 -3.2854 6.1592
Ho Zr Pa Co
4 2 2 4
direct
0.6955 0.9530 0.3910 Ho
0.1955 0.4380 0.3910 Ho
0.8045 0.5620 0.6090 Ho
0.3045 0.0470 0.6090 Ho
0.2500 0.0000 0.0000 Zr
0.7500 0.0000 0.0000 Zr
0.7500 0.5000 0.0000 Pa
0.2500 0.5000 0.0000 Pa
0.4162 0.6506 0.8323 Co
0.5838 0.3494 0.1677 Co
0.0838 0.8182 0.1677 Co
0.9162 0.1818 0.8323 Co
```

***

Q: calculated volume of number 1 (InRh2Pb)?
A: 72 Å³/f.u.